1.
VASP calculation (GGA-PBE) on crystalline NdHoErTh at its relaxed geometry.

Results
ΔE_f: 0.014 eV per atom
V: 128.79 Å³ per cell

Lattice parameters (Å, degrees): 11.7161 11.7161 11.7161 17.63 17.63 17.63
Fractional positions:
Nd 0.0000 0.0000 0.0000
Ho 0.2477 0.2477 0.2477
Er 0.4196 0.4196 0.4196
Th 0.8336 0.8336 0.8336

2.
VASP calculation (GGA-PBE) on crystalline Nd3Ho6Er2Th at its relaxed geometry.

Results
ΔE_f: 0.020 eV per atom
V: 384.17 Å³ per cell

Lattice parameters (Å, degrees): 6.1801 6.1801 11.7951 95.02 95.02 119.99
Fractional positions:
Nd 0.0000 0.0000 0.0000
Nd 0.3329 0.6671 0.0000
Nd 0.6671 0.3329 0.0000
Ho 0.0875 0.4177 0.2541
Ho 0.2523 0.2523 0.7459
Ho 0.4177 0.0875 0.2541
Ho 0.5823 0.9125 0.7459
Ho 0.7477 0.7477 0.2541
Ho 0.9125 0.5823 0.7459
Er 0.1667 0.8333 0.5000
Er 0.8333 0.1667 0.5000
Th 0.5000 0.5000 0.5000